1.
Tm6Mg2Ru: relaxed, PBE-GGA.

Unit cell a=7.364 b=7.364 c=7.364 alpha=136.40 beta=109.14 gamma=87.02
Fractional coordinates of all 9 atoms:
Tm 0.120 0.344 0.776
Tm 0.177 0.000 0.177
Tm 0.432 0.656 0.776
Tm 0.568 0.344 0.224
Tm 0.823 0.000 0.823
Tm 0.880 0.656 0.224
Mg 0.354 0.854 0.500
Mg 0.646 0.146 0.500
Ru 0.000 0.500 0.500

Results
- calculated volume (Å³ per cell) = 249.5
- calculated formation energy (eV/atom) = 0.1012
- N(E_F) (states/eV/atom) = 0.7606
- ρ (Mg/m³) = 7.7
- raw total energy (eV per cell) = -38.383

---

2.
K2Rb8Pb: relaxed, PBE-GGA.

Unit cell a=12.899 b=12.899 c=9.393 alpha=97.24 beta=97.24 gamma=32.73
Fractional coordinates of all 11 atoms:
K 0.169 0.169 0.151
K 0.831 0.831 0.849
Rb 0.018 0.018 0.791
Rb 0.215 0.215 0.643
Rb 0.362 0.362 0.119
Rb 0.417 0.417 0.631
Rb 0.583 0.583 0.369
Rb 0.638 0.638 0.881
Rb 0.785 0.785 0.357
Rb 0.982 0.982 0.209
Pb 0.500 0.500 0.000

Results
- calculated volume (Å³ per cell) = 837.6
- calculated formation energy (eV/atom) = 0.0020
- N(E_F) (states/eV/atom) = 0.7796
- ρ (Mg/m³) = 1.9
- raw total energy (eV per cell) = -13.622

---

3.
NaIn6Pd4: relaxed, PBE-GGA.

Unit cell a=7.093 b=7.093 c=7.093 alpha=120.60 beta=120.60 gamma=88.96
Fractional coordinates of all 11 atoms:
Na 0.000 0.000 0.000
In 0.000 0.500 0.500
In 0.115 0.115 0.647
In 0.468 0.468 0.353
In 0.500 0.000 0.500
In 0.532 0.885 0.000
In 0.885 0.532 0.000
Pd 0.252 0.595 0.000
Pd 0.405 0.405 0.657
Pd 0.595 0.252 0.000
Pd 0.748 0.748 0.343

Results
- calculated volume (Å³ per cell) = 250.0
- calculated formation energy (eV/atom) = -0.3908
- N(E_F) (states/eV/atom) = 0.5413
- ρ (Mg/m³) = 7.6
- raw total energy (eV per cell) = -42.820

---

4.
Li8TlCd5: relaxed, PBE-GGA.

Unit cell a=7.160 b=7.160 c=7.160 alpha=111.16 beta=111.16 gamma=106.15
Fractional coordinates of all 14 atoms:
Li 0.158 0.429 0.076
Li 0.353 0.081 0.924
Li 0.425 0.164 0.401
Li 0.571 0.647 0.729
Li 0.764 0.024 0.599
Li 0.836 0.236 0.261
Li 0.919 0.842 0.271
Li 0.976 0.575 0.739
Tl 0.250 0.750 0.500
Cd 0.000 0.000 0.000
Cd 0.205 0.295 0.669
Cd 0.464 0.795 0.090
Cd 0.626 0.536 0.331
Cd 0.705 0.374 0.910

Results
- calculated volume (Å³ per cell) = 281.8
- calculated formation energy (eV/atom) = -0.1410
- N(E_F) (states/eV/atom) = 0.2577
- ρ (Mg/m³) = 4.8
- raw total energy (eV per cell) = -24.226

---

5.
GdTlHgPd: relaxed, PBE-GGA.

Unit cell a=7.139 b=7.139 c=7.139 alpha=90.00 beta=90.00 gamma=90.00
Fractional coordinates of all 16 atoms:
Gd 0.000 0.000 0.000
Gd 0.000 0.500 0.500
Gd 0.500 0.000 0.500
Gd 0.500 0.500 0.000
Tl 0.000 0.000 0.500
Tl 0.000 0.500 0.000
Tl 0.500 0.000 0.000
Tl 0.500 0.500 0.500
Hg 0.250 0.250 0.250
Hg 0.250 0.750 0.750
Hg 0.750 0.250 0.750
Hg 0.750 0.750 0.250
Pd 0.250 0.250 0.750
Pd 0.250 0.750 0.250
Pd 0.750 0.250 0.250
Pd 0.750 0.750 0.750

Results
- calculated volume (Å³ per cell) = 363.8
- calculated formation energy (eV/atom) = -0.4291
- N(E_F) (states/eV/atom) = 0.6082
- ρ (Mg/m³) = 12.2
- raw total energy (eV per cell) = -94.633

---

6.
Cs2Hg2Br: relaxed, PBE-GGA.

Unit cell a=4.555 b=4.555 c=21.181 alpha=90.00 beta=90.00 gamma=90.00
Fractional coordinates of all 10 atoms:
Cs 0.000 0.000 0.099
Cs 0.000 0.000 0.901
Cs 0.500 0.500 0.401
Cs 0.500 0.500 0.599
Hg 0.000 0.500 0.250
Hg 0.000 0.500 0.750
Hg 0.500 0.000 0.250
Hg 0.500 0.000 0.750
Br 0.000 0.000 0.500
Br 0.500 0.500 0.000

Results
- excess energy over the best structure of this formula in the dataset (meV per atom) = 0
- calculated volume (Å³ per cell) = 439.5
- N(E_F) (states/eV/atom) = 0.3790
- ρ (Mg/m³) = 5.6
- raw total energy (eV per cell) = -16.083

---

7.
Sm2Te4Au: relaxed, PBE-GGA.

Unit cell a=7.812 b=6.284 c=8.838 alpha=90.00 beta=105.81 gamma=90.00
Fractional coordinates of all 14 atoms:
Sm 0.214 0.250 0.427
Sm 0.262 0.250 0.941
Sm 0.738 0.750 0.059
Sm 0.786 0.750 0.573
Te 0.069 0.750 0.357
Te 0.081 0.750 0.924
Te 0.481 0.506 0.253
Te 0.481 0.994 0.253
Te 0.519 0.006 0.747
Te 0.519 0.494 0.747
Te 0.919 0.250 0.076
Te 0.931 0.250 0.643
Au 0.203 0.750 0.669
Au 0.797 0.250 0.331

Results
- excess energy over the best structure of this formula in the dataset (meV per atom) = 0
- calculated volume (Å³ per cell) = 417.4
- N(E_F) (states/eV/atom) = 0.0916
- ρ (Mg/m³) = 8.0
- raw total energy (eV per cell) = -64.103

---

8.
Pa2FeP: relaxed, PBE-GGA.

Unit cell a=5.703 b=3.653 c=7.722 alpha=90.00 beta=109.53 gamma=90.00
Fractional coordinates of all 8 atoms:
Pa 0.201 0.250 0.402
Pa 0.211 0.250 0.948
Pa 0.789 0.750 0.052
Pa 0.799 0.750 0.598
Fe 0.372 0.750 0.220
Fe 0.628 0.250 0.780
P 0.349 0.750 0.707
P 0.651 0.250 0.293

Results
- excess energy over the best structure of this formula in the dataset (meV per atom) = 0
- calculated volume (Å³ per cell) = 151.6
- calculated formation energy (eV/atom) = -0.7320
- N(E_F) (states/eV/atom) = 0.9894
- ρ (Mg/m³) = 12.0
- raw total energy (eV per cell) = -71.585

---

Question: Which value of ρ does entry 3 give?
Answer: 7.6 Mg/m³

---

Question: The highest ρ belongs to which entry?
Answer: GdTlHgPd

---

Question: Among the records above, which one has the highest raw total energy?
Answer: K2Rb8Pb

---

Question: What is the raw total energy in the eighth record?
Answer: -71.585 eV per cell